# K8Rb8Na3 GGA-PBE relaxed
# D(E_F) = 0.7898 states/eV/atom
# formation enthalpy at 0 K = 21 meV/atom
data_K8Rb8Na3
_cell_length_a 24.0844
_cell_length_b 7.4234
_cell_length_c 19.5278
_cell_angle_alpha 90.00
_cell_angle_beta 127.16
_cell_angle_gamma 90.00
_space_group_name_H-M_alt 'C 1 2/m 1'
_space_group_IT_number 12
loop_
_space_group_symop_operation_xyz
'x,y,z'
'-x,-y,-z'
'-x,y,-z'
'x,-y,z'
'x+1/2,y+1/2,z'
'-x+1/2,-y+1/2,-z'
'-x+1/2,y+1/2,-z'
'x+1/2,-y+1/2,z'
loop_
_atom_site_label
_atom_site_fract_x
_atom_site_fract_y
_atom_site_fract_z
K1 0.0166 0.0000 0.1296
K2 0.1117 0.5000 0.6091
K3 0.1961 0.0000 0.1220
K4 0.2014 0.5000 0.2579
Rb1 0.0476 0.5000 0.3289
Rb2 0.1142 0.0000 0.7601
Rb3 0.1558 0.5000 0.9588
Rb4 0.2080 0.0000 0.4131
Na1 0.0000 0.5000 0.0000
Na2 0.0780 0.0000 0.4996